This record from the Alexandria database describes a relaxed structure of Li3Ac2TlPb4. The functional is PBE.

Values from the calculation:
ΔE_f = -0.40 eV/atom
space group = P-4m2 (115)
total moment = 0.00 μB/f.u.

```
Li3Ac2TlPb4
1.0
4.808 0.000 0.000
0.000 4.808 0.000
0.000 0.000 11.937
Pb Li Tl Ac
4 3 1 2
Cartesian
0.000 0.000 0.000
0.000 2.404 4.087
2.404 2.404 0.000
2.404 0.000 7.850
2.404 0.000 10.512
0.000 0.000 5.968
0.000 2.404 1.425
2.404 2.404 5.968
2.404 0.000 2.833
0.000 2.404 9.104
```

---

This record from the Alexandria database describes a relaxed structure of Li2Ac3Tm2Pb4. The functional is PBE.

Values from the calculation:
ΔE_f = -0.43 eV/atom
space group = P-3m1 (164)
total moment = 0.00 μB/f.u.

```
Li2Ac3Tm2Pb4
1.0
5.030 0.000 0.000
-2.515 4.356 0.000
0.000 0.000 16.517
Pb Tm Li Ac
4 2 2 3
Cartesian
2.515 1.452 2.079
2.515 1.452 10.378
0.000 2.904 6.139
0.000 2.904 14.438
2.515 1.452 7.134
0.000 2.904 9.383
2.515 1.452 14.536
0.000 2.904 1.982
0.000 0.000 0.000
0.000 0.000 4.179
0.000 0.000 12.339
```